Below is crystalline Gd2YCd at its relaxed geometry, with properties calculated at the PBE level.

Computed properties:
Electronic total energy: -8.911 eV per atom
Symmetry: Fm-3m, No. 225

```
data_Gd2YCd
_cell_length_a 5.4912
_cell_length_b 5.4912
_cell_length_c 5.4912
_cell_angle_alpha 60.00
_cell_angle_beta 60.00
_cell_angle_gamma 60.00
_symmetry_space_group_name_H-M 'P 1'
_symmetry_Int_Tables_number 1
_symmetry_space_group_name_Hall 'P 1'
loop_
_atom_site_label
_atom_site_fract_x
_atom_site_fract_y
_atom_site_fract_z
Gd1 0.2500 0.2500 0.2500
Gd2 0.7500 0.7500 0.7500
Y1 0.0000 0.0000 0.0000
Cd1 0.5000 0.5000 0.5000
```


Below is crystalline GdYCd at its relaxed geometry, with properties calculated at the PBE level.

Computed properties:
Electronic total energy: -7.241 eV per atom
Symmetry: P3m1, No. 156

```
data_GdYCd
_cell_length_a 5.2853
_cell_length_b 5.2853
_cell_length_c 3.5709
_cell_angle_alpha 90.00
_cell_angle_beta 90.00
_cell_angle_gamma 120.00
_symmetry_space_group_name_H-M 'P 1'
_symmetry_Int_Tables_number 1
_symmetry_space_group_name_Hall 'P 1'
loop_
_atom_site_label
_atom_site_fract_x
_atom_site_fract_y
_atom_site_fract_z
Gd1 0.0000 0.0000 0.0000
Y1 0.6667 0.3333 0.4367
Cd1 0.3333 0.6667 0.7052
```